(P)
Density functional theory data (GGA-PBE) for a relaxed LiTlTe3 crystal.

The magnetic moment comes out at 0.0 μB per formula unit.

a = 5.300 Å, b = 5.300 Å, c = 5.300 Å
α = 90.00°, β = 90.00°, γ = 90.00°
Sites, in units of the cell vectors:
Li 0.000 0.000 0.000
Tl 0.500 0.500 0.500
Te 0.000 0.000 0.500
Te 0.000 0.500 0.000
Te 0.500 0.000 0.000

***

(Q)
Density functional theory data (GGA-PBE) for a relaxed LiTlTe3 crystal.

The magnetic moment comes out at 0.0 μB per formula unit.

a = 5.835 Å, b = 5.835 Å, c = 5.835 Å
α = 90.00°, β = 90.00°, γ = 90.00°
Sites, in units of the cell vectors:
Li 0.000 0.000 0.000
Tl 0.500 0.500 0.500
Te 0.000 0.500 0.500
Te 0.500 0.000 0.500
Te 0.500 0.500 0.000

***

According to the calculations, the structures order from most to least stable as (P), (Q).